No. 1
DFT (GGA-PBE) results for LaY2TiBi after structural relaxation.

Results
The total DFT energy (no corrections) comes out at -0.379 Ry per atom. The value obtained for the total magnetic moment is 0.00 μB per formula unit. For the density of states at the Fermi level, the calculation gives 4.5 states/eV/cell.

CIF file:
```
data_LaY2TiBi
_cell_length_a 5.6822
_cell_length_b 5.6822
_cell_length_c 4.7860
_cell_angle_alpha 90.00
_cell_angle_beta 90.00
_cell_angle_gamma 90.00
_space_group_name_H-M_alt 'P 1'
_space_group_IT_number 1
_space_group_name_Hall 'P 1'
loop_
_atom_site_label
_atom_site_fract_x
_atom_site_fract_y
_atom_site_fract_z
La1 0.0000 0.0000 0.0000
Y1 0.0000 0.5000 0.0000
Y2 0.5000 0.0000 0.0000
Ti1 0.0000 0.0000 0.5000
Bi1 0.5000 0.5000 0.5000
```

No. 2
DFT (GGA-PBE) results for LaZr2TiBi after structural relaxation.

Results
The total DFT energy (no corrections) comes out at -0.443 Ry per atom. The value obtained for the total magnetic moment is 0.50 μB per formula unit. For the density of states at the Fermi level, the calculation gives 7.7 states/eV/cell.

CIF file:
```
data_LaZr2TiBi
_cell_length_a 5.5182
_cell_length_b 5.5182
_cell_length_c 5.1895
_cell_angle_alpha 90.00
_cell_angle_beta 90.00
_cell_angle_gamma 90.00
_space_group_name_H-M_alt 'P 1'
_space_group_IT_number 1
_space_group_name_Hall 'P 1'
loop_
_atom_site_label
_atom_site_fract_x
_atom_site_fract_y
_atom_site_fract_z
La1 0.0000 0.0000 0.0000
Zr1 0.0000 0.5000 0.5000
Zr2 0.5000 0.0000 0.5000
Ti1 0.5000 0.5000 0.0000
Bi1 0.5000 0.5000 0.5000
```

No. 3
DFT (GGA-PBE) results for LaTlBi after structural relaxation.

Results
The total DFT energy (no corrections) comes out at -0.304 Ry per atom. The value obtained for the total magnetic moment is 0.00 μB per formula unit. For the density of states at the Fermi level, the calculation gives 2.3 states/eV/cell.

CIF file:
```
data_LaTlBi
_cell_length_a 5.8164
_cell_length_b 5.8164
_cell_length_c 5.8164
_cell_angle_alpha 133.91
_cell_angle_beta 133.91
_cell_angle_gamma 67.23
_space_group_name_H-M_alt 'P 1'
_space_group_IT_number 1
_space_group_name_Hall 'P 1'
loop_
_atom_site_label
_atom_site_fract_x
_atom_site_fract_y
_atom_site_fract_z
La1 0.0000 0.0000 0.0000
Tl1 0.6699 0.6699 0.0000
Bi1 0.3561 0.3561 0.0000
```

No. 4
DFT (GGA-PBE) results for La2TlBi5 after structural relaxation.

Results
The total DFT energy (no corrections) comes out at -0.331 Ry per atom. The value obtained for the total magnetic moment is 0.00 μB per formula unit. For the density of states at the Fermi level, the calculation gives 4.9 states/eV/cell.

CIF file:
```
data_La2TlBi5
_cell_length_a 7.0209
_cell_length_b 7.0209
_cell_length_c 7.0209
_cell_angle_alpha 118.15
_cell_angle_beta 118.15
_cell_angle_gamma 93.24
_space_group_name_H-M_alt 'P 1'
_space_group_IT_number 1
_space_group_name_Hall 'P 1'
loop_
_atom_site_label
_atom_site_fract_x
_atom_site_fract_y
_atom_site_fract_z
La1 0.0000 0.5000 0.5000
La2 0.5000 0.0000 0.5000
Tl1 0.9996 0.9996 0.0000
Bi1 0.0002 0.0002 0.5003
Bi2 0.0002 0.4998 0.0000
Bi3 0.4998 0.0002 0.0000
Bi4 0.5003 0.5003 0.0000
Bi5 0.4998 0.4998 0.4997
```